This record from Alexandria describes a geometry-optimized TaNiSeBr2 structure. The functional is PBE.

Structure (POSCAR):
```
TaNiSeBr2
1.0
4.700 0.000 0.000
0.000 4.700 0.000
0.000 0.000 4.891
Ta Ni Se Br
1 1 1 2
Direct
0.000 0.000 0.000
0.500 0.500 0.500
0.500 0.500 0.000
0.000 0.500 0.500
0.500 0.000 0.500
```

Calculated values
For the energy above the most stable polymorph in this dataset, the calculation gives 0.258 eV per atom. As for the crystal system: tetragonal. The value obtained for the total magnetization is 2.4 μB per formula unit. Its uncorrected formation energy is 16.8 kcal/mol of atoms.